{
  "formula": "La2Zn2Br",
  "functional": "PBE",
  "state": "relaxed",
  "lattice_angstrom": [[-3.320, 2.873, 0.189], [-0.376, -3.923, 1.945], [3.031, 3.058, 6.753]],
  "species": ["Br", "La", "La", "Zn", "Zn"],
  "fractional_positions": [[0.667, 0.333, 0.000], [0.000, 0.000, 0.262], [0.000, 0.000, 0.738], [0.667, 0.333, 0.500], [0.333, 0.667, 0.500]],
  "magnetic_moment_mub_per_atom": 0.012,
  "e_tot_ev_per_fu": -17.91
}

---

{
  "formula": "Sc4FeN3",
  "functional": "PBE",
  "state": "relaxed",
  "lattice_angstrom": [[3.152, 0.000, 0.000], [-1.576, 2.730, 0.000], [0.000, 0.000, 23.959]],
  "species": ["Fe", "Fe", "N", "N", "N", "N", "N", "N", "Sc", "Sc", "Sc", "Sc", "Sc", "Sc", "Sc", "Sc"],
  "fractional_positions": [[0.333, 0.667, 0.250], [0.667, 0.333, 0.750], [0.000, 0.000, 0.000], [0.667, 0.333, 0.110], [0.667, 0.333, 0.390], [0.000, 0.000, 0.500], [0.333, 0.667, 0.610], [0.333, 0.667, 0.890], [0.333, 0.667, 0.053], [0.000, 0.000, 0.161], [0.000, 0.000, 0.339], [0.333, 0.667, 0.447], [0.667, 0.333, 0.553], [0.000, 0.000, 0.661], [0.000, 0.000, 0.839], [0.667, 0.333, 0.947]],
  "magnetic_moment_mub_per_atom": 0.152,
  "e_tot_ev_per_fu": -69.32
}